(1)
Mg3Ta5Al12 | PBE-GGA | optimized geometry

Cell lengths 15.6220, 15.6220, 15.6220 Å; angles 90.00, 90.00, 90.00 degrees
With the nearest neighbours (Å) after each atom.
Space group Ia-3d (No. 230)
Asymmetric unit:
1 Mg 0.0000 0.2500 0.1250 (multiplicity 24)  8 Al 2.77-2.81
2 Ta 0.0000 0.0000 0.0000 (multiplicity 16)  6 Al 2.63
3 Ta 0.0000 0.2500 0.3750 (multiplicity 24)  4 Al 2.69
4 Al 0.0051 0.0746 0.6511 (multiplicity 96)  2 Ta 2.63-2.69, 2 Mg 2.77-2.81, 1 Al 2.79

***

(2)
MgTa2Al | PBE-GGA | optimized geometry

energy above the most stable polymorph in this dataset = 0.36 eV per formula unit

Cell lengths 9.7061, 2.9043, 5.2227 Å; angles 90.00, 99.59, 90.00 degrees
With the nearest neighbours (Å) after each atom.
Space group Cm (No. 8)
Asymmetric unit:
1 Mg 0.0000 0.0000 0.0000 (multiplicity 2)  3 Al 2.83-2.95, 2 Mg 2.90, 7 Ta 2.98-3.09
2 Ta 0.2392 0.0000 0.7079 (multiplicity 2)  5 Ta 2.82-2.90, 4 Al 2.92-3.07, 3 Mg 2.98-3.09
3 Ta 0.4978 0.0000 0.5005 (multiplicity 2)  5 Ta 2.82-2.90, 3 Al 2.92-3.07, 4 Mg 2.98-2.99
4 Al 0.2552 0.5000 0.2289 (multiplicity 2)  3 Mg 2.83-2.95, 2 Al 2.90, 7 Ta 2.92-3.07

***

(3)
MgTa2Al | PBE-GGA | optimized geometry

energy above the most stable polymorph in this dataset = 0.45 eV per formula unit

Cell lengths 2.9219, 2.9219, 29.6678 Å; angles 90.00, 90.00, 120.00 degrees
With the nearest neighbours (Å) after each atom.
Space group R-3m (No. 166, hexagonal axes)
Asymmetric unit:
1 Mg 0.0000 0.0000 0.0000 (multiplicity 3)  6 Mg 2.92, 6 Ta 3.09
2 Ta 0.0000 0.0000 0.2461 (multiplicity 6)  3 Al 2.90, 6 Ta 2.92, 3 Mg 3.09
3 Al 0.0000 0.0000 0.5000 (multiplicity 3)  6 Ta 2.90, 6 Al 2.92

***

(4)
MgTa2Al | PBE-GGA | optimized geometry

energy above the most stable polymorph in this dataset = 0.02 eV per formula unit

Cell lengths 4.0492, 4.0652, 8.7175 Å; angles 90.00, 90.00, 90.00 degrees
With the nearest neighbours (Å) after each atom.
Space group Cmmm (No. 65)
Asymmetric unit:
1 Mg 0.0000 0.0000 0.0000 (multiplicity 2)  4 Mg 2.87, 8 Ta 3.13
2 Ta 0.0000 0.5000 0.2733 (multiplicity 4)  4 Al 2.83, 4 Ta 2.87, 4 Mg 3.13
3 Al 0.0000 0.0000 0.5000 (multiplicity 2)  8 Ta 2.83, 4 Al 2.87

***

(5)
Mg2TaAl | PBE-GGA | optimized geometry

energy above the most stable polymorph in this dataset = 0.50 eV per formula unit

Cell lengths 2.9874, 2.9874, 29.6959 Å; angles 90.00, 90.00, 120.00 degrees
With the nearest neighbours (Å) after each atom.
Space group R-3m (No. 166, hexagonal axes)
Asymmetric unit:
1 Mg 0.0000 0.0000 0.2478 (multiplicity 6)  3 Al 2.96, 6 Mg 2.99, 3 Ta 3.07
2 Ta 0.0000 0.0000 0.0000 (multiplicity 3)  6 Ta 2.99, 6 Mg 3.07
3 Al 0.0000 0.0000 0.5000 (multiplicity 3)  6 Mg 2.96, 6 Al 2.99

***

(6)
Mg2TaAl | PBE-GGA | optimized geometry

energy above the most stable polymorph in this dataset = 0.00 eV per formula unit

Cell lengths 2.9020, 2.9020, 9.0999 Å; angles 90.00, 90.00, 90.00 degrees
With the nearest neighbours (Å) after each atom.
Space group P4mm (No. 99)
Asymmetric unit:
1 Mg 0.0000 0.0000 0.0000 (multiplicity 1)  4 Mg 2.90, 4 Al 3.04
2 Mg 0.5000 0.5000 0.2822 (multiplicity 1)  4 Mg 2.90, 4 Ta 3.09
3 Ta 0.0000 0.0000 0.5360 (multiplicity 1)  4 Al 2.85, 4 Ta 2.90, 4 Mg 3.09
4 Al 0.5000 0.5000 0.7539 (multiplicity 1)  4 Ta 2.85, 4 Al 2.90, 4 Mg 3.04

***

(7)
Mg2TaAl | PBE-GGA | optimized geometry

energy above the most stable polymorph in this dataset = 0.26 eV per formula unit

Cell lengths 10.7821, 2.8701, 5.4494 Å; angles 90.00, 117.07, 90.00 degrees
With the nearest neighbours (Å) after each atom.
Space group Cm (No. 8)
Asymmetric unit:
1 Mg 0.0000 0.0000 0.0000 (multiplicity 2)  5 Mg 2.83-2.98, 3 Al 3.02, 4 Ta 3.05-3.11
2 Mg 0.2419 0.0000 0.9211 (multiplicity 2)  5 Mg 2.83-2.98, 4 Al 3.01-3.15, 3 Ta 3.01-3.04
3 Ta 0.4888 0.0000 0.4839 (multiplicity 2)  2 Ta 2.87, 3 Al 2.88-2.91, 7 Mg 3.01-3.11
4 Al 0.2481 0.5000 0.4415 (multiplicity 2)  2 Al 2.87, 3 Ta 2.88-2.91, 7 Mg 3.01-3.15

***

(8)
Mg3TaAl | PBE-GGA | optimized geometry

energy above the most stable polymorph in this dataset = 0.00 eV per formula unit

Cell lengths 4.9386, 4.9386, 4.9386 Å; angles 90.00, 90.00, 90.00 degrees
With the nearest neighbours (Å) after each atom.
Space group Pm-3m (No. 221)
Asymmetric unit:
1 Mg 0.0000 0.0000 0.5000 (multiplicity 3)  2 Al 2.47
2 Ta 0.5000 0.5000 0.5000 (multiplicity 1)  12 Mg 3.49
3 Al 0.0000 0.0000 0.0000 (multiplicity 1)  6 Mg 2.47

***

(9)
MgTa2Al | PBE-GGA | optimized geometry

energy above the most stable polymorph in this dataset = 0.37 eV per formula unit

Cell lengths 4.0402, 4.0402, 8.6954 Å; angles 90.00, 90.00, 90.00 degrees
With the nearest neighbours (Å) after each atom.
Space group I-4m2 (No. 119)
Asymmetric unit:
1 Mg 0.0000 0.0000 0.0000 (multiplicity 2)  8 Ta 2.86-2.97, 4 Al 2.97
2 Ta 0.0000 0.0000 0.5000 (multiplicity 2)  4 Mg 2.86, 4 Ta 2.97, 4 Al 2.97
3 Ta 0.0000 0.5000 0.2500 (multiplicity 2)  4 Al 2.86, 4 Ta 2.97, 4 Mg 2.97
4 Al 0.0000 0.5000 0.7500 (multiplicity 2)  8 Ta 2.86-2.97, 4 Mg 2.97

***

(10)
MgTaAl | PBE-GGA | optimized geometry

energy above the most stable polymorph in this dataset = 0.38 eV per formula unit

Cell lengths 4.5771, 4.5771, 2.9153 Å; angles 90.00, 90.00, 120.00 degrees
With the nearest neighbours (Å) after each atom.
Space group P3m1 (No. 156)
Asymmetric unit:
1 Mg 0.0000 0.0000 0.0000 (multiplicity 1)  3 Al 2.64, 2 Mg 2.92
2 Ta 0.6667 0.3333 0.5013 (multiplicity 1)  2 Ta 2.92, 6 Mg 3.02, 6 Al 3.02
3 Al 0.3333 0.6667 0.0026 (multiplicity 1)  3 Mg 2.64, 2 Al 2.92

***

(11)
MgTa2Al | PBE-GGA | optimized geometry

energy above the most stable polymorph in this dataset = 2.54 eV per formula unit

Cell lengths 7.4290, 7.4290, 5.5338 Å; angles 90.00, 90.00, 90.00 degrees
With the nearest neighbours (Å) after each atom.
Space group I-42d (No. 122)
Asymmetric unit:
1 Mg 0.0000 0.0000 0.0000 (multiplicity 4)  2 Al 2.77, 4 Ta 2.78
2 Ta 0.2379 0.2500 0.6250 (multiplicity 8)  2 Al 2.66, 2 Ta 2.77, 2 Mg 2.78
3 Al 0.0000 0.0000 0.5000 (multiplicity 4)  4 Ta 2.66, 2 Mg 2.77

***

(12)
MgTa2Al | PBE-GGA | optimized geometry

energy above the most stable polymorph in this dataset = 0.13 eV per formula unit

Cell lengths 2.9001, 4.6476, 5.3149 Å; angles 90.00, 95.41, 90.00 degrees
With the nearest neighbours (Å) after each atom.
Space group Pm (No. 6)
Asymmetric unit:
1 Mg 0.0000 0.0000 0.0000 (multiplicity 1)  2 Al 2.82, 7 Ta 2.83-3.04, 2 Mg 2.90
2 Ta 0.4312 0.0000 0.5013 (multiplicity 1)  3 Mg 2.83-3.04, 4 Ta 2.84-2.90, 4 Al 2.86-3.02
3 Ta 0.5915 0.5000 0.2136 (multiplicity 1)  3 Al 2.77-3.10, 4 Ta 2.84-2.90, 4 Mg 2.89-3.04
4 Al 0.0200 0.5000 0.7017 (multiplicity 1)  7 Ta 2.77-3.10, 2 Mg 2.82, 2 Al 2.90

***

(13)
Mg2TaAl | PBE-GGA | optimized geometry

energy above the most stable polymorph in this dataset = 0.46 eV per formula unit

Cell lengths 3.0937, 4.7782, 5.0029 Å; angles 90.00, 90.00, 90.00 degrees
With the nearest neighbours (Å) after each atom.
Space group Pmmm (No. 47)
Asymmetric unit:
1 Mg 0.0000 0.0000 0.0000 (multiplicity 1)  6 Mg 2.85-3.09, 4 Al 2.94
2 Mg 0.5000 0.5000 0.0000 (multiplicity 1)  6 Mg 2.85-3.09, 4 Ta 2.94
3 Ta 0.0000 0.5000 0.5000 (multiplicity 1)  4 Al 2.85, 4 Mg 2.94, 2 Ta 3.09
4 Al 0.5000 0.0000 0.5000 (multiplicity 1)  4 Ta 2.85, 4 Mg 2.94, 2 Al 3.09

***

(14)
MgTaAl | PBE-GGA | optimized geometry

energy above the most stable polymorph in this dataset = 0.24 eV per formula unit

Cell lengths 2.9650, 2.9650, 7.3084 Å; angles 90.00, 90.00, 120.00 degrees
With the nearest neighbours (Å) after each atom.
Space group P3m1 (No. 156)
Asymmetric unit:
1 Mg 0.0000 0.0000 0.0000 (multiplicity 1)  6 Mg 2.97, 3 Al 3.01, 3 Ta 3.08
2 Ta 0.3333 0.6667 0.3505 (multiplicity 1)  3 Al 2.85, 6 Ta 2.97, 3 Mg 3.08
3 Al 0.6667 0.3333 0.6615 (multiplicity 1)  3 Ta 2.85, 6 Al 2.97, 3 Mg 3.01

***

(15)
Mg3Ta2Al18 | PBE-GGA | optimized geometry

Cell lengths 14.8296, 14.8296, 14.8296 Å; angles 90.00, 90.00, 90.00 degrees
With the nearest neighbours (Å) after each atom.
Space group Fd-3m (No. 227, origin choice 2)
Asymmetric unit:
1 Mg 0.0000 0.0000 0.0000 (multiplicity 16)  12 Al 3.15, 2 Mg 3.21
2 Mg 0.1250 0.1250 0.1250 (multiplicity 8)  4 Mg 3.21, 12 Al 3.23
3 Ta 0.0000 0.0000 0.5000 (multiplicity 16)  12 Al 2.64-2.91
4 Al 0.0181 0.3750 0.8750 (multiplicity 48)  2 Ta 2.64, 6 Al 2.73-2.91
5 Al 0.0595 0.0595 0.3225 (multiplicity 96)  8 Al 2.73-3.04, 1 Ta 2.91

***

(16)
Mg2TaAl | PBE-GGA | optimized geometry

energy above the most stable polymorph in this dataset = 0.27 eV per formula unit

Cell lengths 2.9307, 4.4626, 5.9721 Å; angles 90.00, 104.15, 90.00 degrees
With the nearest neighbours (Å) after each atom.
Space group Pm (No. 6)
Asymmetric unit:
1 Mg 0.0000 0.0000 0.0000 (multiplicity 1)  1 Al 2.70, 6 Mg 2.93-3.01
2 Mg 0.3871 0.5000 0.7635 (multiplicity 1)  2 Al 2.82, 6 Mg 2.93-3.01, 3 Ta 3.05-3.12
3 Ta 0.6447 0.5000 0.2899 (multiplicity 1)  4 Al 2.86, 2 Ta 2.93, 7 Mg 3.05-3.15
4 Al 0.2321 0.0000 0.4661 (multiplicity 1)  3 Mg 2.70-2.82, 4 Ta 2.86, 2 Al 2.93

***

(17)
MgTaAl | PBE-GGA | optimized geometry

energy above the most stable polymorph in this dataset = 0.44 eV per formula unit

Cell lengths 2.8626, 3.8464, 9.8406 Å; angles 90.00, 90.00, 90.00 degrees
With the nearest neighbours (Å) after each atom.
Space group Imm2 (No. 44)
Asymmetric unit:
1 Mg 0.0000 0.0000 0.0000 (multiplicity 2)  2 Mg 2.86, 4 Al 2.90, 5 Ta 2.99-3.13
2 Ta 0.0000 0.0000 0.6823 (multiplicity 2)  4 Al 2.82, 2 Ta 2.86, 5 Mg 2.99-3.13
3 Al 0.0000 0.0000 0.3337 (multiplicity 2)  4 Ta 2.82, 2 Al 2.86, 4 Mg 2.90

***

(18)
Mg2TaAl | PBE-GGA | optimized geometry

energy above the most stable polymorph in this dataset = 0.99 eV per formula unit

Cell lengths 6.6617, 6.6617, 6.6617 Å; angles 90.00, 90.00, 90.00 degrees
With the nearest neighbours (Å) after each atom.
Space group F-43m (No. 216)
Asymmetric unit:
1 Mg 0.0000 0.0000 0.0000 (multiplicity 4)  4 Ta 2.88, 4 Mg 2.88
2 Mg 0.2500 0.2500 0.2500 (multiplicity 4)  4 Mg 2.88, 4 Al 2.88
3 Ta 0.2500 0.2500 0.7500 (multiplicity 4)  4 Mg 2.88, 4 Al 2.88
4 Al 0.0000 0.0000 0.5000 (multiplicity 4)  4 Mg 2.88, 4 Ta 2.88

***

(19)
MgTaAl | PBE-GGA | optimized geometry

energy above the most stable polymorph in this dataset = 1.93 eV per formula unit

Cell lengths 6.2898, 6.2898, 6.2898 Å; angles 90.00, 90.00, 90.00 degrees
With the nearest neighbours (Å) after each atom.
Space group F-43m (No. 216)
Asymmetric unit:
1 Mg 0.0000 0.0000 0.0000 (multiplicity 4)  4 Al 2.72
2 Ta 0.0000 0.0000 0.5000 (multiplicity 4)  4 Al 2.72
3 Al 0.2500 0.2500 0.2500 (multiplicity 4)  4 Ta 2.72, 4 Mg 2.72

***

(20)
MgTa2Al | PBE-GGA | optimized geometry

energy above the most stable polymorph in this dataset = 0.13 eV per formula unit

Cell lengths 4.0068, 4.0068, 4.4307 Å; angles 90.00, 90.00, 90.00 degrees
With the nearest neighbours (Å) after each atom.
Space group P4/mmm (No. 123)
Asymmetric unit:
1 Mg 0.0000 0.0000 0.0000 (multiplicity 1)  4 Al 2.83, 8 Ta 2.99
2 Ta 0.0000 0.5000 0.5000 (multiplicity 2)  4 Ta 2.83, 4 Mg 2.99, 4 Al 2.99
3 Al 0.5000 0.5000 0.0000 (multiplicity 1)  4 Mg 2.83, 8 Ta 2.99

***

| no. | total magnetic moment (μB per formula unit) | ΔE_f (kJ/mol of formula units) |
| --- | --- | --- |
| 1 | 1.5 | 1881 |
| 2 | 0.0 | 43 |
| 3 | 0.0 | 51 |
| 4 | 0.0 | 10 |
| 5 | 0.3 | 66 |
| 6 | 0.0 | 17 |
| 7 | 0.0 | 42 |
| 8 | 1.5 | 567 |
| 9 | 0.0 | 44 |
| 10 | 0.0 | 41 |
| 11 | 0.0 | 253 |
| 12 | 0.0 | 20 |
| 13 | 0.0 | 62 |
| 14 | 0.0 | 29 |
| 15 | 0.0 | -289 |
| 16 | 0.0 | 44 |
| 17 | 0.0 | 48 |
| 18 | 0.0 | 113 |
| 19 | 0.0 | 191 |
| 20 | 0.0 | 20 |